# 1
First-principles (GGA-PBE) data for a geometry-optimized Na4Ho3PbO8 structure, as listed in Alexandria.

Lattice parameters (Å, degrees): 6.878 6.878 6.878 59.85 59.85 59.85
Fractional positions:
Na: 0.000 0.000 0.000
Na: 0.000 0.500 0.500
Na: 0.500 0.000 0.500
Na: 0.500 0.500 0.000
Ho: 0.000 0.000 0.500
Ho: 0.000 0.500 0.000
Ho: 0.500 0.000 0.000
Pb: 0.500 0.500 0.500
O: 0.226 0.746 0.746
O: 0.236 0.236 0.236
O: 0.254 0.254 0.774
O: 0.254 0.774 0.254
O: 0.746 0.226 0.746
O: 0.746 0.746 0.226
O: 0.764 0.764 0.764
O: 0.774 0.254 0.254

Calculated values
ΔE_f (raw) in eV/atom: -2.3944



# 2
First-principles (GGA-PBE) data for a geometry-optimized Na3Ho2PdO6 structure, as listed in Alexandria.

Lattice parameters (Å, degrees): 5.748 5.748 5.869 98.82 98.82 120.39
Fractional positions:
Na: 0.000 0.000 0.000
Na: 0.341 0.659 0.000
Na: 0.659 0.341 0.000
Ho: 0.170 0.830 0.500
Ho: 0.830 0.170 0.500
Pd: 0.500 0.500 0.500
O: 0.090 0.426 0.277
O: 0.254 0.254 0.702
O: 0.426 0.090 0.277
O: 0.574 0.910 0.723
O: 0.746 0.746 0.298
O: 0.910 0.574 0.723

Calculated values
ΔE_f (raw) in eV/atom: -2.1254



# 3
First-principles (GGA-PBE) data for a geometry-optimized Na2PmHoO4 structure, as listed in Alexandria.

Lattice parameters (Å, degrees): 5.953 3.482 6.036 90.00 109.74 90.00
Fractional positions:
Na: 0.000 0.000 0.000
Na: 0.000 0.500 0.500
Pm: 0.500 0.000 0.500
Ho: 0.500 0.500 0.000
O: 0.286 0.500 0.253
O: 0.288 0.000 0.771
O: 0.712 0.000 0.229
O: 0.714 0.500 0.747

Calculated values
ΔE_f (raw) in eV/atom: -2.7288



# 4
First-principles (GGA-PBE) data for a geometry-optimized Na3PmHo2O6 structure, as listed in Alexandria.

Lattice parameters (Å, degrees): 5.992 5.992 5.939 99.65 99.65 120.02
Fractional positions:
Na: 0.000 0.000 0.000
Na: 0.329 0.671 0.000
Na: 0.671 0.329 0.000
Pm: 0.500 0.500 0.500
Ho: 0.167 0.833 0.500
Ho: 0.833 0.167 0.500
O: 0.087 0.430 0.289
O: 0.227 0.227 0.713
O: 0.430 0.087 0.289
O: 0.570 0.913 0.711
O: 0.773 0.773 0.287
O: 0.913 0.570 0.711

Calculated values
ΔE_f (raw) in eV/atom: -2.7609



# 5
First-principles (GGA-PBE) data for a geometry-optimized Na2PrHoO4 structure, as listed in Alexandria.

Lattice parameters (Å, degrees): 5.975 3.516 6.099 90.00 109.93 90.00
Fractional positions:
Na: 0.000 0.000 0.000
Na: 0.000 0.500 0.500
Pr: 0.500 0.000 0.500
Ho: 0.500 0.500 0.000
O: 0.285 0.500 0.248
O: 0.288 0.000 0.774
O: 0.712 0.000 0.226
O: 0.715 0.500 0.752

Calculated values
ΔE_f (raw) in eV/atom: -2.6782



# 6
First-principles (GGA-PBE) data for a geometry-optimized NaHo2PtO5 structure, as listed in Alexandria.

Lattice parameters (Å, degrees): 6.502 6.502 5.811 90.00 90.00 90.00
Fractional positions:
Na: 0.000 0.000 0.000
Na: 0.500 0.500 0.000
Ho: 0.176 0.324 0.500
Ho: 0.324 0.824 0.500
Ho: 0.676 0.176 0.500
Ho: 0.824 0.676 0.500
Pt: 0.000 0.500 0.000
Pt: 0.500 0.000 0.000
O: 0.000 0.000 0.500
O: 0.138 0.638 0.261
O: 0.138 0.638 0.739
O: 0.362 0.138 0.261
O: 0.362 0.138 0.739
O: 0.500 0.500 0.500
O: 0.638 0.862 0.261
O: 0.638 0.862 0.739
O: 0.862 0.362 0.261
O: 0.862 0.362 0.739

Calculated values
ΔE_f (raw) in eV/atom: -2.3070



# 7
First-principles (GGA-PBE) data for a geometry-optimized Na3Ho2PtO6 structure, as listed in Alexandria.

Lattice parameters (Å, degrees): 5.746 5.746 5.881 98.77 98.77 120.32
Fractional positions:
Na: 0.000 0.000 0.000
Na: 0.341 0.659 0.000
Na: 0.659 0.341 0.000
Ho: 0.170 0.830 0.500
Ho: 0.830 0.170 0.500
Pt: 0.500 0.500 0.500
O: 0.088 0.425 0.275
O: 0.253 0.253 0.703
O: 0.425 0.088 0.275
O: 0.575 0.912 0.725
O: 0.747 0.747 0.297
O: 0.912 0.575 0.725

Calculated values
ΔE_f (raw) in eV/atom: -2.1019



# 8
First-principles (GGA-PBE) data for a geometry-optimized Na4Ho3PtO8 structure, as listed in Alexandria.

Lattice parameters (Å, degrees): 6.743 6.743 6.727 118.77 118.77 58.55
Fractional positions:
Na: 0.000 0.000 0.000
Na: 0.000 0.500 0.000
Na: 0.500 0.000 0.000
Na: 0.500 0.500 0.000
Ho: 0.000 0.000 0.500
Ho: 0.000 0.500 0.500
Ho: 0.500 0.000 0.500
Pt: 0.500 0.500 0.500
O: 0.231 0.231 0.709
O: 0.235 0.235 0.257
O: 0.252 0.720 0.704
O: 0.280 0.748 0.296
O: 0.720 0.252 0.704
O: 0.748 0.280 0.296
O: 0.765 0.765 0.743
O: 0.769 0.769 0.291

Calculated values
ΔE_f (raw) in eV/atom: -2.2894